First-principles (PBE) data for TeMo3Rh after structural relaxation, as listed in Alexandria.

Summary:
Polymorph energy (0 for the lowest one), kJ per mole of atoms: 0.0
Density of states at the Fermi level, states/eV/f.u.: 7.98

abc: 4.759 4.759 4.759
angles: 90.00 90.00 90.00
Site moments in Bohr magnetons follow the coordinates.
Positions (direct):
Rh  0.000  0.000  0.000  0.01
Mo  0.000  0.500  0.000  0.12
Mo  0.000  0.000  0.500  0.20
Mo  0.500  0.000  0.000  0.14
Te  0.500  0.500  0.500  -0.01

***

First-principles (PBE) data for Te2MoRh after structural relaxation, as listed in Alexandria.

Summary:
Polymorph energy (0 for the lowest one), kJ per mole of atoms: 24.1
Density of states at the Fermi level, states/eV/f.u.: 2.64

abc: 8.272 8.272 8.272
angles: 23.41 23.41 23.41
Positions (direct):
Te  0.999  0.999  0.999
Te  0.501  0.501  0.501
Mo  0.250  0.250  0.250
Rh  0.750  0.750  0.750

***

First-principles (PBE) data for TeMo2Rh after structural relaxation, as listed in Alexandria.

Summary:
Density of states at the Fermi level, states/eV/f.u.: 3.46

abc: 4.691 4.691 3.029
angles: 90.00 90.00 90.00
Positions (direct):
Rh  0.500  0.000  0.500
Te  0.000  0.500  0.500
Mo  0.000  0.000  0.000
Mo  0.500  0.500  0.000

***

First-principles (PBE) data for TeMo4Rh after structural relaxation, as listed in Alexandria.

Summary:
Density of states at the Fermi level, states/eV/f.u.: 5.52

abc: 5.269 5.269 5.269
angles: 60.00 60.00 60.00
Positions (direct):
Mo  0.376  0.873  0.376
Mo  0.376  0.376  0.873
Mo  0.873  0.376  0.376
Mo  0.376  0.376  0.376
Rh  0.750  0.750  0.750
Te  0.000  0.000  0.000

***

First-principles (PBE) data for TeMo2Rh after structural relaxation, as listed in Alexandria.

Summary:
Density of states at the Fermi level, states/eV/f.u.: 4.29

abc: 5.862 5.862 7.121
angles: 65.69 65.69 90.00
Positions (direct):
Te  0.000  0.000  0.000
Te  0.750  0.250  0.500
Mo  0.875  0.837  0.750
Mo  0.163  0.625  0.250
Mo  0.375  0.413  0.750
Mo  0.587  0.125  0.250
Rh  0.250  0.750  0.500
Rh  0.500  0.500  0.000

***

First-principles (PBE) data for TeMo2Rh after structural relaxation, as listed in Alexandria.

Summary:
Density of states at the Fermi level, states/eV/f.u.: 3.20

abc: 6.041 5.013 3.010
angles: 89.94 60.23 116.97
Positions (direct):
Te  0.500  0.500  0.000
Mo  0.500  0.000  0.500
Mo  0.000  0.000  0.000
Rh  0.000  0.500  0.500

***

E_form (uncorrected) across the listed records, respectively: 1.525 0.144 0.281 0.534 0.969 0.343 eV per atom.